Record 1
Entry from Alexandria: an optimized crystal structure of BaTlAs (PBEsol).

**Electronic total energy**: -11.42 eV for the cell shown
**ΔH_f (0 K)**: -0.513 eV/atom
**Space-group type**: F-43m

Cell lengths 5.3445, 5.3445, 5.3445 Å; angles 60.00, 60.00, 60.00 degrees
Fractional coordinates of all 3 atoms:
1 As 0.2500 0.2500 0.2500
2 Tl 0.5000 0.5000 0.5000
3 Ba 0.0000 0.0000 0.0000

Record 2
Entry from Alexandria: an optimized crystal structure of BaTl2As (PBEsol).

**Electronic total energy**: -14.55 eV for the cell shown
**ΔH_f (0 K)**: -0.508 eV/atom
**Space-group type**: P4mm

Cell lengths 4.5086, 4.5086, 6.0383 Å; angles 90.00, 90.00, 90.00 degrees
Fractional coordinates of all 4 atoms:
1 As 0.0000 0.0000 0.5015
2 Tl 0.0000 0.5000 0.1594
3 Tl 0.5000 0.0000 0.1594
4 Ba 0.5000 0.5000 0.6794

Record 3
Entry from Alexandria: an optimized crystal structure of BaTlAs (PBEsol).

**Electronic total energy**: -10.67 eV for the cell shown
**ΔH_f (0 K)**: -0.262 eV/atom
**Space-group type**: F-43m

Cell lengths 5.3231, 5.3231, 5.3231 Å; angles 60.00, 60.00, 60.00 degrees
Fractional coordinates of all 3 atoms:
1 As 0.5000 0.5000 0.5000
2 Tl 0.0000 0.0000 0.0000
3 Ba 0.2500 0.2500 0.2500

Record 4
Entry from Alexandria: an optimized crystal structure of BaTlAs (PBEsol).

**Electronic total energy**: -11.95 eV for the cell shown
**ΔH_f (0 K)**: -0.690 eV/atom
**Space-group type**: P3m1

Cell lengths 4.5939, 4.5939, 5.3257 Å; angles 90.00, 90.00, 120.00 degrees
Fractional coordinates of all 3 atoms:
1 As 0.0000 0.0000 0.0357
2 Tl 0.6667 0.3333 0.2675
3 Ba 0.3333 0.6667 0.6968

Record 5
Entry from Alexandria: an optimized crystal structure of Ba2TlAs2 (PBEsol).

**Electronic total energy**: -42.80 eV for the cell shown
**ΔH_f (0 K)**: -0.852 eV/atom
**Space-group type**: P4/mbm

Cell lengths 4.6506, 8.1731, 8.1731 Å; angles 90.00, 90.00, 90.00 degrees
Fractional coordinates of all 10 atoms:
1 As 0.0000 0.3927 0.8927
2 As 0.0000 0.8927 0.6073
3 As 0.0000 0.6073 0.1073
4 As 0.0000 0.1073 0.3927
5 Tl 0.0000 0.0000 0.0000
6 Tl 0.0000 0.5000 0.5000
7 Ba 0.5000 0.1818 0.6818
8 Ba 0.5000 0.6818 0.8182
9 Ba 0.5000 0.8182 0.3182
10 Ba 0.5000 0.3182 0.1818

Record 6
Entry from Alexandria: an optimized crystal structure of BaAsW2 (PBEsol).

**Electronic total energy**: -29.93 eV for the cell shown
**ΔH_f (0 K)**: 1.236 eV/atom
**Space-group type**: C2/m

Cell lengths 2.8133, 5.3334, 6.1848 Å; angles 115.54, 103.14, 90.02 degrees
Fractional coordinates of all 4 atoms:
1 As 0.5000 0.0000 0.0000
2 Ba 0.0000 0.5000 0.0000
3 W 0.0000 0.0000 0.5000
4 W 0.5000 0.5000 0.5000

Record 7
Entry from Alexandria: an optimized crystal structure of BaAsW2 (PBEsol).

**Electronic total energy**: -30.65 eV for the cell shown
**ΔH_f (0 K)**: 1.054 eV/atom
**Space-group type**: Cmmm

Cell lengths 2.9925, 2.9925, 9.5079 Å; angles 90.00, 90.00, 111.48 degrees
Fractional coordinates of all 4 atoms:
1 As 0.5000 0.5000 0.5000
2 Ba 0.5000 0.5000 0.0000
3 W 0.0000 0.0000 0.3041
4 W 0.0000 0.0000 0.6959

Record 8
Entry from Alexandria: an optimized crystal structure of BaAsW2 (PBEsol).

**Electronic total energy**: -28.74 eV for the cell shown
**ΔH_f (0 K)**: 1.532 eV/atom
**Space-group type**: Cmmm

Cell lengths 2.8149, 5.7649, 5.8757 Å; angles 119.38, 90.00, 90.00 degrees
Fractional coordinates of all 4 atoms:
1 As 0.5000 0.0000 0.0000
2 Ba 0.5000 0.5000 0.0000
3 W 0.0000 0.5000 0.5000
4 W 0.0000 0.0000 0.5000

Record 9
Entry from Alexandria: an optimized crystal structure of BaAs2W2 (PBEsol).

**Electronic total energy**: -39.76 eV for the cell shown
**ΔH_f (0 K)**: 0.042 eV/atom
**Space-group type**: I4/mmm

Cell lengths 4.8516, 4.8516, 5.6793 Å; angles 115.29, 115.29, 90.00 degrees
Fractional coordinates of all 5 atoms:
1 As 0.2500 0.7500 0.5000
2 As 0.7500 0.2500 0.5000
3 Ba 0.0000 0.0000 0.0000
4 W 0.3720 0.3720 0.7440
5 W 0.6280 0.6280 0.2560

Record 10
Entry from Alexandria: an optimized crystal structure of BaAsW2 (PBEsol).

**Electronic total energy**: -31.19 eV for the cell shown
**ΔH_f (0 K)**: 0.921 eV/atom
**Space-group type**: Immm

Cell lengths 2.8163, 5.3408, 6.2102 Å; angles 115.47, 103.11, 90.00 degrees
Fractional coordinates of all 4 atoms:
1 As 0.5000 0.0000 0.0000
2 Ba 0.0000 0.5000 0.0000
3 W 0.7915 0.7915 0.5830
4 W 0.2085 0.2085 0.4170

Record 11
Entry from Alexandria: an optimized crystal structure of BaYAs2 (PBEsol).

**Electronic total energy**: -23.26 eV for the cell shown
**ΔH_f (0 K)**: -1.019 eV/atom
**Space-group type**: Pmmm

Cell lengths 3.3492, 3.8260, 7.9281 Å; angles 90.00, 90.00, 90.00 degrees
Fractional coordinates of all 4 atoms:
1 Y 0.5000 0.5000 0.0000
2 As 0.0000 0.0000 0.2172
3 As 0.0000 0.0000 0.7828
4 Ba 0.5000 0.5000 0.5000

Record 12
Entry from Alexandria: an optimized crystal structure of BaYAs2 (PBEsol).

**Electronic total energy**: -23.74 eV for the cell shown
**ΔH_f (0 K)**: -1.140 eV/atom
**Space-group type**: R-3m

Cell lengths 4.2971, 4.2971, 7.7128 Å; angles 73.83, 73.83, 60.00 degrees
Fractional coordinates of all 4 atoms:
1 Y 0.5000 0.5000 0.5000
2 As 0.7645 0.7645 0.7066
3 As 0.2355 0.2355 0.2934
4 Ba 0.0000 0.0000 0.0000